# 1
LiCa5 after structural relaxation. Source: Alexandria via LeMat-Bulk, functional GGA-PBEsol.

## Properties
**Energy above the most stable polymorph in this dataset**: 0.42 kcal/mol of atoms
**Size of the total moment**: 0.00 μB per cell
**Uncorrected energy**: -12.41 eV per formula unit

a b c (Å): 5.9995 4.2127 17.8451
angles (deg): 90.00 90.00 90.00
Space group Amm2 (No. 38)
Unique sites:
Li  0.0000  0.0000  0.0000
Ca  0.0000  0.0000  0.3421
Ca  0.0000  0.0000  0.6577
Ca  0.5000  0.0000  0.1675
Ca  0.5000  0.0000  0.4990
Ca  0.5000  0.0000  0.8302



# 2
FeSb2TeSe after structural relaxation. Source: Alexandria via LeMat-Bulk, functional GGA-PBEsol.

## Properties
**Size of the total moment**: 3.41 μB per cell
**Uncorrected energy**: -19.57 eV per formula unit

a b c (Å): 5.2428 5.2428 5.4078
angles (deg): 90.00 90.00 90.00
Space group P4/mmm (No. 123)
Unique sites:
Fe  0.0000  0.0000  0.0000
Sb  0.0000  0.5000  0.5000
Te  0.5000  0.5000  0.0000
Se  0.5000  0.5000  0.5000



# 3
Mg2CuIr after structural relaxation. Source: Alexandria via LeMat-Bulk, functional GGA-PBEsol.

## Properties
**Size of the total moment**: 0.00 μB per cell
**Uncorrected energy**: -17.19 eV per formula unit

a b c (Å): 2.8468 2.8468 26.8077
angles (deg): 90.00 90.00 120.00
Space group R3m (No. 160, hexagonal axes)
Unique sites:
Mg  0.0000  0.0000  0.0000
Mg  0.0000  0.0000  0.2327
Cu  0.0000  0.0000  0.7452
Ir  0.0000  0.0000  0.4878



# 4
V3Au after structural relaxation. Source: Alexandria via LeMat-Bulk, functional GGA-PBEsol.

## Properties
**Energy above the most stable polymorph in this dataset**: 2.62 kcal/mol of atoms
**Size of the total moment**: 0.00 μB per cell
**Uncorrected energy**: -32.71 eV per formula unit

a b c (Å): 3.8198 3.8198 3.8198
angles (deg): 90.00 90.00 90.00
Space group Pm-3m (No. 221)
Unique sites:
V  0.0000  0.0000  0.5000
Au  0.5000  0.5000  0.5000



# 5
BeRu after structural relaxation. Source: Alexandria via LeMat-Bulk, functional GGA-PBEsol.

## Properties
**Size of the total moment**: 0.00 μB per cell
**Uncorrected energy**: -14.62 eV per formula unit

a b c (Å): 2.7485 2.7485 5.6042
angles (deg): 90.00 90.00 90.00
Space group P4/nmm (No. 129, origin choice 2)
Unique sites:
Be  0.2500  0.2500  0.0942
Ru  0.2500  0.2500  0.6503



# 6
Cs3SbH2S4O after structural relaxation. Source: Alexandria via LeMat-Bulk, functional GGA-PBEsol.

## Properties
**Size of the total moment**: 0.00 μB per cell
**Uncorrected energy**: -47.41 eV per formula unit

a b c (Å): 9.7022 9.8716 15.9652
angles (deg): 90.00 126.50 90.00
Space group P2_1/c (No. 14)
Unique sites:
Cs  0.0764  0.0835  0.4237
Cs  0.2114  0.5858  0.4534
Cs  0.3943  0.6356  0.7928
Sb  0.2599  0.2086  0.7809
H  0.3173  0.5896  0.1671
H  0.3689  0.6465  0.0952
S  0.0048  0.6691  0.7487
S  0.2206  0.1840  0.1376
S  0.3940  0.5031  0.3105
S  0.4386  0.1589  0.4320
O  0.2709  0.6405  0.1006



# 7
SiIrPt after structural relaxation. Source: Alexandria via LeMat-Bulk, functional GGA-PBEsol.

## Properties
**Energy above the most stable polymorph in this dataset**: 6.78 kcal/mol of atoms
**Size of the total moment**: 0.00 μB per cell
**Uncorrected energy**: -23.72 eV per formula unit

a b c (Å): 2.8441 2.8441 5.9969
angles (deg): 90.00 90.00 120.00
Space group P3m1 (No. 156)
Unique sites:
Si  0.0000  0.0000  0.0000
Ir  0.3333  0.6667  0.7053
Pt  0.6667  0.3333  0.3062



# 8
MnZnNi after structural relaxation. Source: Alexandria via LeMat-Bulk, functional GGA-PBEsol.

## Properties
**Size of the total moment**: 7.61 μB per cell
**Uncorrected energy**: -17.58 eV per formula unit

a b c (Å): 2.6933 3.4344 7.8108
angles (deg): 90.00 90.00 90.00
Space group Imm2 (No. 44)
Unique sites:
Mn  0.0000  0.0000  0.0000
Zn  0.0000  0.0000  0.3253
Ni  0.0000  0.0000  0.6609



Q: Look up the size of the total moment of the eighth one.
A: 7.61 μB per cell